Record 1
VASP calculation (PBE) on a relaxed structure of CsZrAgBr6.

Output
Space group: P-31c (163)
Formation energy (no corrections) in meV per atom: -1257
Total magnetic moment in μB per cell: 0.0
Volume in Å³/atom: 41.33

a b c (Å): 7.385 7.385 15.751
angles (deg): 90.00 90.00 120.00
Fractional coordinates of all 18 atoms:
Cs 0.000 0.000 0.000
Cs 0.000 0.000 0.500
Zr 0.333 0.667 0.250
Zr 0.667 0.333 0.750
Ag 0.333 0.667 0.750
Ag 0.667 0.333 0.250
Br 0.026 0.393 0.151
Br 0.026 0.633 0.349
Br 0.367 0.393 0.349
Br 0.367 0.974 0.151
Br 0.393 0.026 0.651
Br 0.393 0.367 0.849
Br 0.607 0.633 0.151
Br 0.607 0.974 0.349
Br 0.633 0.026 0.849
Br 0.633 0.607 0.651
Br 0.974 0.367 0.651
Br 0.974 0.607 0.849

=====

Record 2
VASP calculation (PBE) on a relaxed structure of CuAgBr3.

Output
Space group: C2/c (15)
Formation energy (no corrections) in meV per atom: -286
Total magnetic moment in μB per cell: 0.0
Volume in Å³/atom: 27.35
Energy above the most stable polymorph in this dataset in kJ/mol of formula units: 0

a b c (Å): 9.039 9.039 6.908
angles (deg): 100.05 100.05 86.72
Fractional coordinates of all 20 atoms:
Cu 0.102 0.272 0.299
Cu 0.272 0.102 0.799
Cu 0.728 0.898 0.201
Cu 0.898 0.728 0.701
Ag 0.227 0.773 0.250
Ag 0.408 0.592 0.750
Ag 0.592 0.408 0.250
Ag 0.773 0.227 0.750
Br 0.058 0.217 0.614
Br 0.121 0.633 0.887
Br 0.217 0.058 0.114
Br 0.291 0.468 0.372
Br 0.367 0.879 0.613
Br 0.468 0.291 0.872
Br 0.532 0.709 0.128
Br 0.633 0.121 0.387
Br 0.709 0.532 0.628
Br 0.783 0.942 0.886
Br 0.879 0.367 0.113
Br 0.942 0.783 0.386

=====

Record 3
VASP calculation (PBE) on a relaxed structure of CuAgBr2.

Output
Space group: R3m (160)
Formation energy (no corrections) in meV per atom: -211
Total magnetic moment in μB per cell: 0.0
Volume in Å³/atom: 26.34
Energy above the most stable polymorph in this dataset in kJ/mol of formula units: 29

a b c (Å): 7.845 7.845 7.845
angles (deg): 29.76 29.76 29.76
Fractional coordinates of all 4 atoms:
Cu 0.000 0.000 0.000
Ag 0.741 0.741 0.741
Br 0.297 0.297 0.297
Br 0.469 0.469 0.469

=====

Q: The highest formation energy (no corrections) belongs to which entry?
A: CuAgBr2

=====

Q: Look up the formation energy (no corrections) of the second one.
A: -286 meV per atom

=====

What did the second record say?
VASP calculation (PBE) on a relaxed structure of CuAgBr3.

Output
Space group: C2/c (15)
Formation energy (no corrections) in meV per atom: -286
Total magnetic moment in μB per cell: 0.0
Volume in Å³/atom: 27.35
Energy above the most stable polymorph in this dataset in kJ/mol of formula units: 0

a b c (Å): 9.039 9.039 6.908
angles (deg): 100.05 100.05 86.72
Fractional coordinates of all 20 atoms:
Cu 0.102 0.272 0.299
Cu 0.272 0.102 0.799
Cu 0.728 0.898 0.201
Cu 0.898 0.728 0.701
Ag 0.227 0.773 0.250
Ag 0.408 0.592 0.750
Ag 0.592 0.408 0.250
Ag 0.773 0.227 0.750
Br 0.058 0.217 0.614
Br 0.121 0.633 0.887
Br 0.217 0.058 0.114
Br 0.291 0.468 0.372
Br 0.367 0.879 0.613
Br 0.468 0.291 0.872
Br 0.532 0.709 0.128
Br 0.633 0.121 0.387
Br 0.709 0.532 0.628
Br 0.783 0.942 0.886
Br 0.879 0.367 0.113
Br 0.942 0.783 0.386